--- A ---
Li6AgPd5: optimized geometry, GGA-PBE.

a = 4.252 Å, b = 6.062 Å, c = 6.732 Å
α = 90.00°, β = 108.77°, γ = 90.00°
Sites, in units of the cell vectors:
1 Pd 0.665 0.500 0.331
2 Pd 0.334 0.000 0.669
3 Pd 0.000 0.500 0.000
4 Pd 0.666 0.000 0.331
5 Pd 0.335 0.500 0.669
6 Ag 0.000 0.000 0.000
7 Li 0.830 0.746 0.660
8 Li 0.830 0.254 0.660
9 Li 0.500 0.259 0.000
10 Li 0.500 0.741 0.000
11 Li 0.170 0.746 0.340
12 Li 0.170 0.254 0.340

=====

--- B ---
Li6AgPd5: optimized geometry, GGA-PBE.

a = 4.913 Å, b = 8.528 Å, c = 6.000 Å
α = 44.71°, β = 82.42°, γ = 79.30°
Sites, in units of the cell vectors:
1 Li 0.748 0.083 0.342
2 Li 0.252 0.576 0.342
3 Li 0.261 0.253 0.000
4 Li 0.739 0.747 0.000
5 Li 0.748 0.424 0.658
6 Li 0.252 0.917 0.658
7 Ag 0.000 0.000 0.000
8 Pd 0.500 0.167 0.666
9 Pd 0.000 0.335 0.331
10 Pd 0.500 0.500 0.000
11 Pd 0.000 0.665 0.669
12 Pd 0.500 0.833 0.334

=====

So which one wins? Going from most stable to least: A, B.

=====

--- A ---
LiAg4Pd: optimized geometry, GGA-PBE.

a = 5.419 Å, b = 5.419 Å, c = 5.419 Å
α = 60.00°, β = 60.00°, γ = 60.00°
Sites, in units of the cell vectors:
1 Pd 0.000 0.000 0.000
2 Ag 0.625 0.625 0.125
3 Ag 0.625 0.125 0.625
4 Ag 0.625 0.625 0.625
5 Ag 0.125 0.625 0.625
6 Li 0.250 0.250 0.250

=====

--- B ---
LiAg4Pd: optimized geometry, GGA-PBE.

a = 4.143 Å, b = 4.983 Å, c = 5.661 Å
α = 106.73°, β = 90.00°, γ = 114.56°
Sites, in units of the cell vectors:
1 Li 0.000 0.000 0.500
2 Ag 0.335 0.669 0.169
3 Ag 0.665 0.331 0.831
4 Ag 0.335 0.669 0.667
5 Ag 0.665 0.331 0.333
6 Pd 0.000 0.000 0.000

=====

So which one wins? Going from most stable to least: B, A.

=====

--- A ---
Li6Ag2Pd: optimized geometry, GGA-PBE.

a = 4.355 Å, b = 6.174 Å, c = 7.578 Å
α = 114.04°, β = 106.54°, γ = 90.00°
Sites, in units of the cell vectors:
1 Li 0.157 0.400 0.319
2 Li 0.843 0.081 0.681
3 Li 0.843 0.600 0.681
4 Li 0.500 0.232 0.000
5 Li 0.157 0.919 0.319
6 Li 0.500 0.768 0.000
7 Ag 0.664 0.667 0.334
8 Ag 0.336 0.333 0.666
9 Pd 0.000 0.000 0.000

=====

--- B ---
Li6Ag2Pd: optimized geometry, GGA-PBE.

a = 2.789 Å, b = 7.601 Å, c = 7.601 Å
α = 60.00°, β = 89.99°, γ = 89.99°
Sites, in units of the cell vectors:
1 Li 0.499 0.673 0.000
2 Li 0.501 0.000 0.327
3 Li 0.501 0.327 0.000
4 Li 0.500 0.673 0.327
5 Li 0.499 0.000 0.673
6 Li 0.500 0.327 0.673
7 Ag 0.000 0.333 0.333
8 Ag 0.000 0.667 0.667
9 Pd 0.000 0.000 0.000

=====

So which one wins? Going from most stable to least: B, A.

=====

--- A ---
LiAgPd6: optimized geometry, GGA-PBE.

a = 4.609 Å, b = 5.559 Å, c = 5.559 Å
α = 119.97°, β = 90.00°, γ = 90.00°
Sites, in units of the cell vectors:
1 Li 0.000 0.084 0.916
2 Ag 0.500 0.417 0.583
3 Pd 0.000 0.081 0.415
4 Pd 0.000 0.585 0.919
5 Pd 0.000 0.585 0.415
6 Pd 0.500 0.415 0.083
7 Pd 0.500 0.917 0.585
8 Pd 0.500 0.917 0.083

=====

--- B ---
LiAgPd6: optimized geometry, GGA-PBE.

a = 3.905 Å, b = 4.877 Å, c = 7.370 Å
α = 76.16°, β = 74.64°, γ = 66.40°
Sites, in units of the cell vectors:
1 Li 0.000 0.000 0.000
2 Ag 0.000 0.500 0.500
3 Pd 0.247 0.874 0.632
4 Pd 0.500 0.240 0.759
5 Pd 0.250 0.378 0.121
6 Pd 0.500 0.760 0.241
7 Pd 0.753 0.126 0.368
8 Pd 0.750 0.622 0.879

=====

So which one wins? Going from most stable to least: B, A.

=====

--- A ---
Li5AgPd3: optimized geometry, GGA-PBE.

a = 5.264 Å, b = 7.562 Å, c = 7.561 Å
α = 120.01°, β = 90.00°, γ = 90.00°
Sites, in units of the cell vectors:
1 Li 0.000 0.667 0.333
2 Li 0.500 0.333 0.667
3 Li 0.000 0.333 0.667
4 Li 0.500 0.667 0.333
5 Li 0.750 0.688 0.688
6 Li 0.750 0.000 0.312
7 Li 0.750 0.312 0.000
8 Li 0.250 0.312 0.312
9 Li 0.250 0.000 0.688
10 Li 0.250 0.688 0.000
11 Ag 0.000 0.000 0.000
12 Ag 0.500 0.000 0.000
13 Pd 0.750 0.357 0.357
14 Pd 0.750 0.000 0.643
15 Pd 0.750 0.643 0.000
16 Pd 0.250 0.643 0.643
17 Pd 0.250 0.000 0.357
18 Pd 0.250 0.357 0.000

=====

--- B ---
Li5AgPd3: optimized geometry, GGA-PBE.

a = 5.988 Å, b = 5.988 Å, c = 9.010 Å
α = 109.41°, β = 109.41°, γ = 90.00°
Sites, in units of the cell vectors:
1 Li 0.156 0.074 0.730
2 Li 0.574 0.656 0.730
3 Li 0.656 0.156 0.730
4 Li 0.074 0.574 0.730
5 Li 0.844 0.926 0.270
6 Li 0.426 0.344 0.270
7 Li 0.344 0.844 0.270
8 Li 0.926 0.426 0.270
9 Li 0.500 0.500 0.000
10 Li 0.000 0.000 0.000
11 Ag 0.250 0.750 0.500
12 Ag 0.750 0.250 0.500
13 Pd 0.851 0.649 0.000
14 Pd 0.149 0.351 0.000
15 Pd 0.351 0.851 0.000
16 Pd 0.649 0.149 0.000
17 Pd 0.250 0.250 0.500
18 Pd 0.750 0.750 0.500

=====

So which one wins? Going from most stable to least: A, B.

=====

--- A ---
Li6AgPd8: optimized geometry, GGA-PBE.

a = 6.760 Å, b = 6.760 Å, c = 6.760 Å
α = 62.06°, β = 62.06°, γ = 62.06°
Sites, in units of the cell vectors:
1 Li 0.944 0.459 0.728
2 Li 0.272 0.056 0.541
3 Li 0.541 0.272 0.056
4 Li 0.459 0.728 0.944
5 Li 0.728 0.944 0.459
6 Li 0.056 0.541 0.272
7 Ag 0.000 0.000 0.000
8 Pd 0.117 0.661 0.815
9 Pd 0.185 0.883 0.339
10 Pd 0.339 0.185 0.883
11 Pd 0.583 0.583 0.583
12 Pd 0.417 0.417 0.417
13 Pd 0.661 0.815 0.117
14 Pd 0.815 0.117 0.661
15 Pd 0.883 0.339 0.185

=====

--- B ---
Li6AgPd8: optimized geometry, GGA-PBE.

a = 2.831 Å, b = 9.318 Å, c = 9.318 Å
α = 120.00°, β = 90.00°, γ = 90.00°
Sites, in units of the cell vectors:
1 Li 0.726 0.517 0.613
2 Li 0.726 0.387 0.904
3 Li 0.726 0.096 0.483
4 Li 0.274 0.483 0.387
5 Li 0.274 0.613 0.096
6 Li 0.274 0.904 0.517
7 Ag 0.500 0.000 0.000
8 Pd 0.794 0.681 0.910
9 Pd 0.794 0.090 0.771
10 Pd 0.794 0.229 0.319
11 Pd 0.206 0.319 0.090
12 Pd 0.206 0.910 0.229
13 Pd 0.206 0.771 0.681
14 Pd 0.768 0.667 0.333
15 Pd 0.232 0.333 0.667

=====

So which one wins? Going from most stable to least: A, B.